This record from the Alexandria database describes a geometry-optimized Li3V2P4H2O16 structure. The functional is GGA+U.

Summary:
VASP energy: -185.5 eV/cell
Space group: P1

```
Li3V2P4H2O16
1.0
4.8667 0.0000 0.0000
1.9006 7.3324 0.0000
0.0788 0.0840 8.0747
Li V P H O
3 2 4 2 16
Cartesian
0.0000 0.0000 0.0000
2.3729 5.0717 2.1461
3.4736 3.6548 6.2002
2.1720 6.3136 5.1238
3.6522 2.5257 1.1099
1.3731 0.6197 2.3480
2.6189 0.8921 6.3259
4.7358 4.3408 3.9092
6.0205 4.5826 7.9267
1.0904 2.7008 5.0548
4.4921 6.2973 1.1733
1.7841 4.9054 6.5378
0.8313 0.2109 3.7289
2.1056 3.7163 0.7062
3.2492 7.3206 6.5049
2.3192 2.1756 5.5765
3.5449 6.5892 1.5764
2.6143 1.4892 2.4700
3.6890 5.1361 4.7613
3.2837 1.1938 7.6783
4.1152 3.9734 2.5686
5.5559 7.3126 5.5345
4.7439 3.7208 7.7536
5.6897 5.8173 0.6115
5.0091 3.0728 4.7715
6.0204 5.2026 3.7364
5.1656 1.2948 1.4715
```